This record from Alexandria describes a geometry-optimized FeHgOs4 structure. The functional is PBE.

Cell: 5.1909 5.1909 5.1909 Å, 60.00 60.00 60.00°
With the nearest neighbours (Å) after each atom.
Positions (direct):
1 Fe 0.0000 0.0000 0.0000  12 Os 3.04, 4 Hg 3.18
2 Hg 0.7500 0.7500 0.7500  12 Os 3.04, 4 Fe 3.18
3 Os 0.3748 0.3748 0.3748  6 Os 2.59-2.60
4 Os 0.3748 0.3748 0.8757  6 Os 2.59-2.60
5 Os 0.3748 0.8757 0.3748  6 Os 2.59-2.60
6 Os 0.8757 0.3748 0.3748  6 Os 2.59-2.60

Summary:
SG: F-43m, No. 216
DOS(E_F): 8.50 states/eV/cell
ΔE_f: 928 meV/atom